Below is a relaxed structure of La4AgOs, with properties calculated at the PBE level.

a b c (Å): 14.1547 14.1547 14.1547
angles (deg): 90.00 90.00 90.00
Space group F-43m (No. 216)
Symmetry-distinct sites (fractional):
La  0.0000  0.0000  0.1906 [24 per cell]
La  0.0576  0.2500  0.2500 [24 per cell]
La  0.1528  0.1528  0.6528 [16 per cell]
Ag  0.0797  0.0797  0.4203 [16 per cell]
Os  0.1380  0.1380  0.8620 [16 per cell]

Computed properties:
DFT formation energy = -4.65 kcal/mol of atoms
Final energy = -560.026 eV per cell